Entry 1:
# CsAgTeO2

Crystalline CsAgTeO2 at its relaxed geometry (PBEsol, Alexandria via LeMat-Bulk).

Raw formation energy ... 625 meV per atom

Lattice parameters (Å, degrees): 4.169 4.169 7.550 90.00 90.00 90.00
Space group P4/mmm (No. 123)
Asymmetric unit:
Cs 0.000 0.000 0.000 (multiplicity 1)
Ag 0.000 0.000 0.500 (multiplicity 1)
Te 0.500 0.500 0.500 (multiplicity 1)
O 0.000 0.500 0.000 (multiplicity 2)

---

Entry 2:
# Cs2CaIr

Crystalline Cs2CaIr at its relaxed geometry (PBEsol, Alexandria via LeMat-Bulk).

Formation energy from the elements ... 928.3 meV/atom

Lattice parameters (Å, degrees): 7.807 7.807 7.807 90.00 90.00 90.00
Space group Fm-3m (No. 225)
Asymmetric unit:
Cs 0.250 0.250 0.250 (multiplicity 8)
Ca 0.000 0.000 0.000 (multiplicity 4)
Ir 0.000 0.000 0.500 (multiplicity 4)

---

Entry 3:
# Cr4Pt

Crystalline Cr4Pt at its relaxed geometry (PBEsol, Alexandria via LeMat-Bulk).

Formation energy from the elements ... 49.1 meV/atom

Lattice parameters (Å, degrees): 6.463 6.463 2.854 90.00 90.00 90.00
Space group I4/m (No. 87)
Asymmetric unit:
Cr 0.117 0.679 0.000 (multiplicity 8)
Pt 0.000 0.000 0.500 (multiplicity 2)

---

Entry 4:
# CoPbBr2

Crystalline CoPbBr2 at its relaxed geometry (PBEsol, Alexandria via LeMat-Bulk).

Energy relative to the lowest polymorph listed for this composition ... 1.18 eV/f.u.
Raw formation energy ... 220 meV per atom

Lattice parameters (Å, degrees): 3.252 3.252 8.480 90.00 90.00 90.00
Space group P4/mmm (No. 123)
Asymmetric unit:
Co 0.000 0.000 0.000 (multiplicity 1)
Pb 0.000 0.000 0.500 (multiplicity 1)
Br 0.500 0.500 0.184 (multiplicity 2)

---

Entry 5:
# Mg2ZrPbC

Crystalline Mg2ZrPbC at its relaxed geometry (PBEsol, Alexandria via LeMat-Bulk).

Formation energy from the elements ... 2267.8 meV/atom

Lattice parameters (Å, degrees): 5.630 5.630 5.525 90.00 90.00 90.00
Space group P4/mmm (No. 123)
Asymmetric unit:
Mg 0.000 0.500 0.000 (multiplicity 2)
Zr 0.000 0.000 0.000 (multiplicity 1)
Pb 0.000 0.000 0.500 (multiplicity 1)
C 0.500 0.500 0.500 (multiplicity 1)

---

Entry 6:
# ScMnMo2

Crystalline ScMnMo2 at its relaxed geometry (PBEsol, Alexandria via LeMat-Bulk).

Energy relative to the lowest polymorph listed for this composition ... 0.00 eV/f.u.
Formation energy from the elements ... 137.5 meV/atom

Lattice parameters (Å, degrees): 6.183 6.183 6.183 90.00 90.00 90.00
Space group F-43m (No. 216)
Asymmetric unit:
Sc 0.000 0.000 0.000 (multiplicity 4)
Mn 0.250 0.250 0.250 (multiplicity 4)
Mo 0.000 0.000 0.500 (multiplicity 4)
Mo 0.250 0.250 0.750 (multiplicity 4)

---

Entry 7:
# TcRhAu

Crystalline TcRhAu at its relaxed geometry (PBEsol, Alexandria via LeMat-Bulk).

Formation energy from the elements ... 116.4 meV/atom

Lattice parameters (Å, degrees): 2.757 3.830 8.283 90.00 90.00 90.00
Space group Imm2 (No. 44)
Asymmetric unit:
Tc 0.000 0.000 0.000 (multiplicity 2)
Rh 0.000 0.000 0.351 (multiplicity 2)
Au 0.000 0.000 0.674 (multiplicity 2)

---

Entry 8:
# Ca2ZrW

Crystalline Ca2ZrW at its relaxed geometry (PBEsol, Alexandria via LeMat-Bulk).

Formation energy from the elements ... 670.1 meV/atom

Lattice parameters (Å, degrees): 3.310 5.776 10.777 90.00 90.00 90.00
Space group Imm2 (No. 44)
Asymmetric unit:
Ca 0.000 0.000 0.000 (multiplicity 2)
Ca 0.000 0.500 0.204 (multiplicity 2)
Zr 0.000 0.000 0.417 (multiplicity 2)
W 0.000 0.500 0.736 (multiplicity 2)

---

Record order is preserved below.
Calculated total energy: -3.03, -2.53, -9.54, -3.65, -2.97, -9.84, -7.66, -6.12 eV/atom
Record order is preserved below.
Magnetic moment: 0.4, 0.0, 0.0, 2.3, 0.1, 0.0, 0.0, 0.0 μB/f.u.